--- i ---
MnPtW | Alexandria via LeMat-Bulk | PBE | optimized geometry; D(E_F) = 0.983 states/eV per atom; size of the total moment = 2.1 μB per cell
1.0
4.342 0.000 0.000
-2.171 3.760 0.000
0.000 0.000 2.696
Mn Pt W
1 1 1
direct
0.000 0.000 0.000
0.667 0.333 0.377
0.333 0.667 0.815

***

--- ii ---
MnPtW | Alexandria via LeMat-Bulk | PBE | optimized geometry; D(E_F) = 1.230 states/eV per atom; size of the total moment = 0.8 μB per cell
1.0
0.000 2.908 2.908
2.908 0.000 2.908
2.908 2.908 0.000
Mn Pt W
1 1 1
direct
0.000 0.000 0.000
0.250 0.250 0.250
0.750 0.750 0.750

***

--- iii ---
MnPtW | Alexandria via LeMat-Bulk | PBE | optimized geometry; D(E_F) = 0.945 states/eV per atom; size of the total moment = 2.3 μB per cell
1.0
-1.364 1.914 4.203
1.364 -1.914 4.203
1.364 1.914 -4.203
Mn Pt W
1 1 1
direct
0.000 0.000 0.000
0.667 0.667 0.000
0.341 0.341 0.000

***

--- iv ---
MnPtW | Alexandria via LeMat-Bulk | PBE | optimized geometry; D(E_F) = 0.652 states/eV per atom; size of the total moment = 0.0 μB per cell
1.0
-1.950 1.950 5.907
1.950 -1.950 5.907
1.950 1.950 -5.907
Mn Pt W
2 2 2
direct
0.000 0.500 0.500
0.500 0.000 0.500
0.141 0.141 0.000
0.859 0.859 0.000
0.357 0.357 0.000
0.643 0.643 0.000

***

From most stable to least stable, the computed energies give iii, i, iv, ii.

***

--- i ---
Mn2Pt2W | Alexandria via LeMat-Bulk | PBE | optimized geometry; D(E_F) = 1.646 states/eV per atom; size of the total moment = 0.0 μB per cell
1.0
7.270 0.000 0.000
0.000 7.270 0.000
0.000 0.000 2.679
Mn Pt W
4 4 2
direct
0.170 0.330 0.000
0.330 0.830 0.000
0.670 0.170 0.000
0.830 0.670 0.000
0.129 0.629 0.500
0.371 0.129 0.500
0.629 0.871 0.500
0.871 0.371 0.500
0.000 0.000 0.500
0.500 0.500 0.500

***

--- ii ---
Mn2Pt2W | Alexandria via LeMat-Bulk | PBE | optimized geometry; D(E_F) = 1.078 states/eV per atom; size of the total moment = 6.3 μB per cell
1.0
6.394 0.000 0.000
0.000 6.394 0.000
0.000 0.000 3.535
Mn Pt W
4 4 2
direct
0.128 0.372 0.000
0.372 0.872 0.000
0.628 0.128 0.000
0.872 0.628 0.000
0.168 0.668 0.500
0.332 0.168 0.500
0.668 0.832 0.500
0.832 0.332 0.500
0.000 0.000 0.000
0.500 0.500 0.000

***

From most stable to least stable, the computed energies give ii, i.

***

--- i ---
MnPtW3 | Alexandria via LeMat-Bulk | PBE | optimized geometry; D(E_F) = 1.146 states/eV per atom; size of the total moment = 3.6 μB per cell
1.0
4.784 0.000 0.000
0.000 4.784 0.000
0.000 0.000 4.784
Mn Pt W
1 1 3
direct
0.000 0.000 0.000
0.500 0.500 0.500
0.000 0.500 0.500
0.500 0.000 0.500
0.500 0.500 0.000

***

--- ii ---
MnPtW3 | Alexandria via LeMat-Bulk | PBE | optimized geometry; D(E_F) = 0.881 states/eV per atom; size of the total moment = 0.0 μB per cell
1.0
4.427 0.000 0.000
0.000 4.427 0.000
0.000 0.000 4.427
Mn Pt W
1 1 3
direct
0.000 0.000 0.000
0.500 0.500 0.500
0.000 0.000 0.500
0.000 0.500 0.000
0.500 0.000 0.000

***

From most stable to least stable, the computed energies give ii, i.

***

--- i ---
YMn2Pt | Alexandria via LeMat-Bulk | PBE | optimized geometry; D(E_F) = 0.787 states/eV per atom; size of the total moment = 7.3 μB per cell
1.0
-1.875 2.175 4.429
1.875 -2.175 4.429
1.875 2.175 -4.429
Y Mn Pt
1 2 1
direct
0.000 0.000 0.000
0.266 0.766 0.500
0.534 0.534 0.000
0.750 0.250 0.500

***

--- ii ---
YMn2Pt | Alexandria via LeMat-Bulk | PBE | optimized geometry; D(E_F) = 1.274 states/eV per atom; size of the total moment = 6.8 μB per cell
1.0
0.000 3.249 3.249
3.249 0.000 3.249
3.249 3.249 0.000
Y Mn Pt
1 2 1
direct
0.000 0.000 0.000
0.250 0.250 0.250
0.750 0.750 0.750
0.500 0.500 0.500

***

From most stable to least stable, the computed energies give i, ii.

***

--- i ---
YMn2Pt | Alexandria via LeMat-Bulk | PBE | optimized geometry; D(E_F) = 1.009 states/eV per atom; size of the total moment = 7.5 μB per cell
1.0
-2.030 2.030 4.347
2.030 -2.030 4.347
2.030 2.030 -4.347
Y Mn Pt
1 2 1
direct
0.000 0.000 0.000
0.250 0.750 0.500
0.750 0.250 0.500
0.500 0.500 0.000

***

--- ii ---
YMn2Pt | Alexandria via LeMat-Bulk | PBE | optimized geometry; D(E_F) = 0.847 states/eV per atom; size of the total moment = 6.7 μB per cell
1.0
4.074 0.000 0.000
0.000 4.074 0.000
0.000 0.000 4.216
Y Mn Pt
1 2 1
direct
0.000 0.000 0.000
0.000 0.500 0.500
0.500 0.000 0.500
0.500 0.500 0.000

***

From most stable to least stable, the computed energies give ii, i.

***

--- i ---
YMn2Pt | Alexandria via LeMat-Bulk | PBE | optimized geometry; D(E_F) = 0.743 states/eV per atom; size of the total moment = 7.5 μB per cell
1.0
3.083 0.000 0.000
0.000 4.495 0.000
-1.276 0.000 5.343
Y Mn Pt
1 2 1
direct
0.000 0.000 0.000
0.333 0.500 0.722
0.667 0.500 0.278
0.500 0.000 0.500

***

--- ii ---
YMn2Pt | Alexandria via LeMat-Bulk | PBE | optimized geometry; D(E_F) = 1.025 states/eV per atom; size of the total moment = 1.3 μB per cell
1.0
4.405 -1.779 0.000
4.405 1.779 0.000
-1.505 0.000 4.647
Y Mn Pt
1 2 1
direct
0.000 0.000 0.000
0.230 0.230 0.605
0.770 0.770 0.395
0.500 0.500 0.500

***

--- iii ---
YMn2Pt | Alexandria via LeMat-Bulk | PBE | optimized geometry; D(E_F) = 0.850 states/eV per atom; size of the total moment = 1.4 μB per cell
1.0
3.288 0.000 0.000
0.000 3.288 0.000
0.000 0.000 6.601
Y Mn Pt
1 2 1
direct
0.000 0.000 0.000
0.000 0.000 0.497
0.500 0.500 0.308
0.500 0.500 0.715

***

--- iv ---
YMn2Pt | Alexandria via LeMat-Bulk | PBE | optimized geometry; D(E_F) = 1.023 states/eV per atom; size of the total moment = 0.2 μB per cell
1.0
2.122 1.225 4.887
-2.122 1.225 4.887
0.000 -2.451 4.887
Y Mn Pt
1 2 1
direct
0.000 0.000 0.000
0.196 0.196 0.196
0.516 0.516 0.516
0.787 0.787 0.787

***

From most stable to least stable, the computed energies give iv, iii, i, ii.

***

--- i ---
YMn2Pt | Alexandria via LeMat-Bulk | PBE | optimized geometry; D(E_F) = 0.873 states/eV per atom; size of the total moment = 7.7 μB per cell
1.0
3.333 0.000 0.000
0.000 3.333 0.000
0.000 0.000 6.704
Y Mn Pt
1 2 1
direct
0.000 0.000 0.000
0.500 0.500 0.297
0.500 0.500 0.703
0.000 0.000 0.500

***

--- ii ---
YMn2Pt | Alexandria via LeMat-Bulk | PBE | optimized geometry; D(E_F) = 1.125 states/eV per atom; size of the total moment = 8.1 μB per cell
1.0
1.558 0.900 9.141
-1.558 0.900 9.141
0.000 -1.799 9.141
Y Mn Pt
1 2 1
direct
0.000 0.000 0.000
0.240 0.240 0.240
0.760 0.760 0.760
0.500 0.500 0.500

***

--- iii ---
YMn2Pt | Alexandria via LeMat-Bulk | PBE | optimized geometry; D(E_F) = 1.124 states/eV per atom; size of the total moment = 7.3 μB per cell
1.0
-2.095 2.095 9.272
2.095 -2.095 9.272
2.095 2.095 -9.272
Y Mn Pt
2 4 2
direct
0.375 0.625 0.750
0.625 0.375 0.250
0.000 0.000 0.000
0.000 0.000 0.500
0.000 0.500 0.000
0.500 0.000 0.500
0.125 0.875 0.250
0.875 0.125 0.750

***

--- iv ---
YMn2Pt | Alexandria via LeMat-Bulk | PBE | optimized geometry; D(E_F) = 1.160 states/eV per atom; size of the total moment = 7.0 μB per cell
1.0
2.820 -4.761 0.000
2.820 4.761 0.000
-1.388 0.000 2.685
Y Mn Pt
1 2 1
direct
0.000 0.000 0.000
0.000 0.500 0.500
0.500 0.000 0.500
0.500 0.500 0.000

***

From most stable to least stable, the computed energies give i, iv, iii, ii.

***

--- i ---
MnZn4Pt | Alexandria via LeMat-Bulk | PBE | optimized geometry; D(E_F) = 0.284 states/eV per atom; size of the total moment = 7.0 μB per cell
1.0
5.383 0.000 0.000
0.000 4.233 0.000
-2.529 0.000 7.559
Mn Zn Pt
2 8 2
direct
0.131 0.250 0.247
0.869 0.750 0.753
0.046 0.250 0.587
0.143 0.250 0.916
0.354 0.750 0.076
0.443 0.750 0.409
0.557 0.250 0.591
0.646 0.250 0.924
0.857 0.750 0.084
0.954 0.750 0.413
0.362 0.750 0.736
0.638 0.250 0.264

***

--- ii ---
MnZn4Pt | Alexandria via LeMat-Bulk | PBE | optimized geometry; D(E_F) = 0.576 states/eV per atom; size of the total moment = 3.9 μB per cell
1.0
5.697 -1.960 0.000
5.697 1.960 0.000
-0.012 0.000 3.924
Mn Zn Pt
1 4 1
direct
0.000 0.000 0.000
0.163 0.163 0.499
0.332 0.332 0.000
0.668 0.668 0.000
0.837 0.837 0.501
0.500 0.500 0.500

***

--- iii ---
MnZn4Pt | Alexandria via LeMat-Bulk | PBE | optimized geometry; D(E_F) = 0.350 states/eV per atom; size of the total moment = 4.8 μB per cell
1.0
0.000 3.514 3.514
3.514 0.000 3.514
3.514 3.514 0.000
Mn Zn Pt
1 4 1
direct
0.000 0.000 0.000
0.375 0.375 0.375
0.375 0.375 0.875
0.375 0.875 0.375
0.875 0.375 0.375
0.750 0.750 0.750

***

From most stable to least stable, the computed energies give i, ii, iii.

***

--- i ---
ZrMn3Pt | Alexandria via LeMat-Bulk | PBE | optimized geometry; D(E_F) = 1.934 states/eV per atom; size of the total moment = 0.4 μB per cell
1.0
4.422 0.000 0.000
0.000 4.422 0.000
0.000 0.000 4.422
Zr Mn Pt
1 3 1
direct
0.000 0.000 0.000
0.000 0.000 0.500
0.000 0.500 0.000
0.500 0.000 0.000
0.500 0.500 0.500

***

--- ii ---
ZrMn3Pt | Alexandria via LeMat-Bulk | PBE | optimized geometry; D(E_F) = 1.238 states/eV per atom; size of the total moment = 10.8 μB per cell
1.0
4.781 0.000 0.000
0.000 4.781 0.000
0.000 0.000 4.781
Zr Mn Pt
1 3 1
direct
0.000 0.000 0.000
0.000 0.500 0.500
0.500 0.000 0.500
0.500 0.500 0.000
0.500 0.500 0.500

***

From most stable to least stable, the computed energies give ii, i.

***

--- i ---
ZrMn2Pt2 | Alexandria via LeMat-Bulk | PBE | optimized geometry; D(E_F) = 1.304 states/eV per atom; size of the total moment = 0.0 μB per cell
1.0
7.388 0.000 0.000
0.000 7.388 0.000
0.000 0.000 2.746
Zr Mn Pt
2 4 4
direct
0.000 0.000 0.000
0.500 0.500 0.000
0.103 0.397 0.000
0.397 0.897 0.000
0.603 0.103 0.000
0.897 0.603 0.000
0.189 0.689 0.500
0.311 0.189 0.500
0.689 0.811 0.500
0.811 0.311 0.500

***

--- ii ---
ZrMn2Pt2 | Alexandria via LeMat-Bulk | PBE | optimized geometry; D(E_F) = 1.451 states/eV per atom; size of the total moment = 0.0 μB per cell
1.0
-1.720 1.720 6.678
1.720 -1.720 6.678
1.720 1.720 -6.678
Zr Mn Pt
1 2 2
direct
0.000 0.000 0.000
0.250 0.750 0.500
0.750 0.250 0.500
0.397 0.397 0.000
0.603 0.603 0.000

***

From most stable to least stable, the computed energies give i, ii.